DFT (PBE+U) results for a geometry-optimized NaVP2O8 structure.

Cell and atoms, written as extended XYZ:
```
12
Lattice="5.102 0.000 0.000 2.551 4.419 0.000 2.551 1.473 8.130" Properties=species:S:1:pos:R:3 pbc="T T T"
O 2.551 1.473 0.869
O 5.102 4.453 2.958
O 3.797 2.192 2.958
O 6.407 3.699 5.173
O 6.407 2.192 2.958
O 7.653 4.419 7.261
O 5.102 1.439 5.173
O 3.797 3.699 5.173
P 7.653 4.419 5.763
P 2.551 1.473 2.367
Na 0.000 0.000 0.000
V 5.102 2.946 4.065
```

## Properties
**Total energy**: -6.92 eV/atom